Entry from Alexandria via LeMat-Bulk: an optimized crystal structure of YHo2Er6 (PBE).

a b c (Å): 17.0938 3.5548 11.7959
angles (deg): 90.00 129.13 90.00
With the nearest neighbours (Å) after each atom.
Space group C2/m (No. 12)
Symmetry-distinct sites (fractional):
Y 0.0000 0.0000 0.0000 (multiplicity 2)  6 Er 3.50-3.56, 4 Ho 3.51, 2 Y 3.55
Ho 0.2048 0.5000 0.0745 (multiplicity 4)  4 Ho 3.47-3.55, 6 Er 3.47-3.56, 2 Y 3.51
Er 0.0370 0.0000 0.7397 (multiplicity 4)  3 Ho 3.47-3.56, 8 Er 3.48-3.55, 1 Y 3.50
Er 0.1289 0.5000 0.5922 (multiplicity 4)  10 Er 3.47-3.55, 2 Ho 3.55
Er 0.1674 0.5000 0.3348 (multiplicity 4)  9 Er 3.49-3.55, 1 Ho 3.51, 2 Y 3.56

Summary:
calculated formation energy: 2.1 meV per atom
DOS at the Fermi energy: 26.381 states/eV per cell
total DFT energy (no corrections): -4.78 eV/atom
size of the total moment: 0.0 μB/f.u.
relative energy among the computed polymorphs: 0 meV per atom

Entry from Alexandria via LeMat-Bulk: an optimized crystal structure of Y4Ho4Er (PBE).

a b c (Å): 10.6395 10.6395 5.0022
angles (deg): 90.00 90.00 90.00
With the nearest neighbours (Å) after each atom.
Space group I4/mmm (No. 139)
Symmetry-distinct sites (fractional):
Y 0.1665 0.1665 0.0000 (multiplicity 8)  2 Er 3.54, 4 Y 3.54-3.55, 6 Ho 3.55
Ho 0.0000 0.3346 0.5000 (multiplicity 8)  5 Ho 3.52-3.53, 6 Y 3.55, 1 Er 3.56
Er 0.0000 0.0000 0.5000 (multiplicity 2)  8 Y 3.54, 4 Ho 3.56

Summary:
calculated formation energy: 24.6 meV per atom
DOS at the Fermi energy: 26.138 states/eV per cell
total DFT energy (no corrections): -5.39 eV/atom
size of the total moment: 0.0 μB/f.u.

Entry from Alexandria via LeMat-Bulk: an optimized crystal structure of Y3HoEr7 (PBE).

a b c (Å): 6.9443 5.4809 9.8331
angles (deg): 90.00 110.09 90.00
With the nearest neighbours (Å) after each atom.
Space group P2/m (No. 10)
Symmetry-distinct sites (fractional):
Y 0.0000 0.0000 0.0000 (multiplicity 1)  2 Ho 3.47, 10 Er 3.50-3.77
Y 0.2780 0.5000 0.4972 (multiplicity 2)  1 Y 3.07, 4 Er 3.31-3.36
Ho 0.5000 0.0000 0.0000 (multiplicity 1)  2 Y 3.47, 10 Er 3.48-3.77
Er 0.0000 0.0000 0.5000 (multiplicity 1)  4 Y 3.36
Er 0.1491 0.5000 0.7921 (multiplicity 2)  3 Er 3.22-3.54, 2 Y 3.31-3.33
Er 0.3205 0.5000 0.1407 (multiplicity 2)  5 Er 3.22-3.54, 2 Ho 3.49, 2 Y 3.50
Er 0.4206 0.0000 0.3302 (multiplicity 2)  3 Er 3.14-3.25, 1 Ho 3.48, 4 Y 3.51

Summary:
calculated formation energy: 162.9 meV per atom
DOS at the Fermi energy: 19.598 states/eV per cell
total DFT energy (no corrections): -4.92 eV/atom
size of the total moment: 0.0 μB/f.u.
relative energy among the computed polymorphs: 0 meV per atom

Entry from Alexandria via LeMat-Bulk: an optimized crystal structure of Y3Ho2Er2 (PBE).

a b c (Å): 17.3415 3.4840 8.5067
angles (deg): 90.00 119.29 90.00
With the nearest neighbours (Å) after each atom.
Space group C2/m (No. 12)
Symmetry-distinct sites (fractional):
Y 0.0000 0.0000 0.0000 (multiplicity 2)  4 Y 3.30-3.48, 2 Er 3.53, 4 Ho 3.55
Y 0.2121 0.0000 0.3001 (multiplicity 4)  5 Y 3.30-3.48, 3 Ho 3.42-3.57, 3 Er 3.56-3.64
Ho 0.0650 0.5000 0.4093 (multiplicity 4)  3 Ho 3.30-3.48, 5 Y 3.42-3.57, 4 Er 3.54-3.64
Er 0.1461 0.0000 0.8229 (multiplicity 4)  4 Er 3.48-3.80, 4 Y 3.53-3.64, 4 Ho 3.54-3.64

Summary:
calculated formation energy: 122.0 meV per atom
DOS at the Fermi energy: 23.847 states/eV per cell
total DFT energy (no corrections): -5.26 eV/atom
size of the total moment: 0.0 μB/f.u.
relative energy among the computed polymorphs: 75 meV per atom

Entry from Alexandria via LeMat-Bulk: an optimized crystal structure of Y10HoEr4 (PBE).

a b c (Å): 12.1274 12.1274 7.6678
angles (deg): 90.00 90.00 90.00
With the nearest neighbours (Å) after each atom.
Space group I4/m (No. 87)
Symmetry-distinct sites (fractional):
Y 0.0000 0.5000 0.2500 (multiplicity 4)  4 Er 3.33
Y 0.0996 0.7995 0.2501 (multiplicity 16)  3 Er 3.32, 1 Ho 3.32
Ho 0.0000 0.0000 0.0000 (multiplicity 2)  8 Y 3.32
Er 0.1004 0.2996 0.5000 (multiplicity 8)  8 Y 3.32-3.33

Summary:
calculated formation energy: 728.9 meV per atom
DOS at the Fermi energy: 34.435 states/eV per cell
total DFT energy (no corrections): -5.10 eV/atom
size of the total moment: 0.0 μB/f.u.

Entry from Alexandria via LeMat-Bulk: an optimized crystal structure of Y5HoEr2 (PBE).

a b c (Å): 6.6085 16.4505 9.4704
angles (deg): 90.00 95.03 90.00
With the nearest neighbours (Å) after each atom.
Space group C2/c (No. 15)
Symmetry-distinct sites (fractional):
Y 0.0000 0.1544 0.2500 (multiplicity 4)  6 Y 3.60-3.93, 2 Ho 3.63, 4 Er 3.80-3.90
Y 0.0436 0.2511 0.9134 (multiplicity 8)  4 Y 3.06-3.26, 1 Er 3.38
Y 0.1714 0.3796 0.3890 (multiplicity 8)  3 Y 3.23-3.32, 4 Er 3.38-3.51, 1 Ho 3.44
Ho 0.0000 0.4369 0.7500 (multiplicity 4)  4 Er 3.39-3.63, 6 Y 3.43-3.63
Er 0.1743 0.0525 0.9214 (multiplicity 8)  1 Er 3.33, 5 Y 3.38-3.51, 2 Ho 3.39-3.63

Summary:
calculated formation energy: 156.8 meV per atom
DOS at the Fermi energy: 49.204 states/eV per cell
total DFT energy (no corrections): -5.60 eV/atom
size of the total moment: 0.0 μB/f.u.
relative energy among the computed polymorphs: 134 meV per atom

Entry from Alexandria via LeMat-Bulk: an optimized crystal structure of YHo9Er2 (PBE).

a b c (Å): 11.1374 11.1374 3.4812
angles (deg): 90.00 90.00 120.00
With the nearest neighbours (Å) after each atom.
Space group P6/mmm (No. 191)
Symmetry-distinct sites (fractional):
Y 0.0000 0.0000 0.0000 (multiplicity 1)  2 Y 3.48, 12 Ho 3.83
Ho 0.0000 0.5000 0.0000 (multiplicity 3)  2 Er 3.22, 10 Ho 3.48-3.57
Ho 0.1770 0.3540 0.5000 (multiplicity 6)  8 Ho 3.41-3.57, 2 Er 3.48
Er 0.3333 0.6667 0.0000 (multiplicity 2)  9 Ho 3.22-3.48, 2 Er 3.48

Summary:
calculated formation energy: 49.2 meV per atom
DOS at the Fermi energy: 19.614 states/eV per cell
total DFT energy (no corrections): -4.68 eV/atom
size of the total moment: 0.0 μB/f.u.
relative energy among the computed polymorphs: 26 meV per atom

Entry from Alexandria via LeMat-Bulk: an optimized crystal structure of Y4Ho3Er2 (PBE).

a b c (Å): 16.1680 11.5294 6.1136
angles (deg): 90.00 95.85 90.00
With the nearest neighbours (Å) after each atom.
Space group C2/c (No. 15)
Symmetry-distinct sites (fractional):
Y 0.0462 0.1426 0.0127 (multiplicity 8)  1 Er 3.26, 4 Ho 3.39-3.49, 3 Y 3.40-3.61
Y 0.2113 0.3595 0.8476 (multiplicity 8)  1 Y 3.31, 4 Ho 3.37-3.48, 3 Er 3.39-3.58
Ho 0.0000 0.4057 0.7500 (multiplicity 4)  4 Er 3.34-3.45, 4 Y 3.45-3.48
Ho 0.1673 0.0972 0.5804 (multiplicity 8)  6 Y 3.37-3.49, 2 Er 3.45-3.48
Er 0.1193 0.3576 0.3214 (multiplicity 8)  4 Y 3.26-3.58, 4 Ho 3.34-3.48

Summary:
calculated formation energy: 101.7 meV per atom
DOS at the Fermi energy: 56.890 states/eV per cell
total DFT energy (no corrections): -5.31 eV/atom
size of the total moment: 0.0 μB/f.u.

Question: Among the records above, which one has the highest calculated formation energy?
Answer: Y10HoEr4